# 1
Compound: MgNi
Source: the Alexandria database
Functional: PBE
Structure: optimized geometry

Summary:
* E_form: 0.7 eV/f.u.
* final energy: -3.33 eV per atom
* total moment: 0.00 μB/f.u.
* space-group type: Fm-3m

abc: 3.5893 3.5893 3.5893
angles: 60.00 60.00 60.00
Closest atoms and distances in Å follow each position.
Positions (direct):
Ni1 0.5000 0.5000 0.5000  6 Mg 2.54
Mg1 0.0000 0.0000 0.0000  6 Ni 2.54

---

# 2
Compound: Mn5Co
Source: the Alexandria database
Functional: PBE
Structure: optimized geometry

Summary:
* E_form: 0.2 eV/f.u.
* final energy: -8.79 eV per atom
* relative energy among the computed polymorphs: 40.5 meV per atom
* total moment: 0.24 μB/f.u.
* space-group type: Amm2

abc: 6.5812 6.5812 3.9701
angles: 90.00 90.00 158.20
Closest atoms and distances in Å follow each position.
Positions (direct):
Mn1 0.2233 0.7767 0.5000  12 Mn 2.44-2.51
Mn2 0.6653 0.3347 0.0000  10 Mn 2.45-2.50, 2 Co 2.46
Mn3 0.3332 0.6668 0.0000  10 Mn 2.44-2.50, 2 Co 2.51
Mn4 0.8887 0.1113 0.5000  10 Mn 2.45-2.49, 2 Co 2.46
Mn5 0.5549 0.4451 0.5000  4 Co 2.44, 8 Mn 2.45-2.51
Co1 0.0014 0.9986 0.0000  10 Mn 2.44-2.51, 2 Co 2.49

---

# 3
Compound: InSbP2
Source: the Alexandria database
Functional: PBE
Structure: optimized geometry

Summary:
* final energy: -4.21 eV per atom
* relative energy among the computed polymorphs: 165.7 meV per atom
* total moment: 0.00 μB/f.u.
* space-group type: I-42d

abc: 5.9367 5.9367 7.7809
angles: 67.57 67.57 90.00
Closest atoms and distances in Å follow each position.
Positions (direct):
P1 0.6116 0.1250 0.2500  2 In 2.62, 2 Sb 2.71
P2 0.8750 0.8616 0.7500  2 In 2.62, 2 Sb 2.71
P3 0.3750 0.3884 0.7500  2 In 2.62, 2 Sb 2.71
P4 0.1384 0.6250 0.2500  2 In 2.62, 2 Sb 2.71
In1 0.5000 0.5000 0.0000  4 P 2.62
In2 0.2500 0.7500 0.5000  4 P 2.62
Sb1 0.7500 0.2500 0.5000  4 P 2.71
Sb2 0.0000 0.0000 0.0000  4 P 2.71

---

# 4
Compound: CrRuBr
Source: the Alexandria database
Functional: PBE
Structure: optimized geometry

Summary:
* final energy: -6.13 eV per atom
* relative energy among the computed polymorphs: 168.8 meV per atom
* total moment: 2.72 μB/f.u.
* space-group type: F-43m

abc: 4.2645 4.2645 4.2645
angles: 60.00 60.00 60.00
Closest atoms and distances in Å follow each position.
Positions (direct):
Ru1 0.7500 0.7500 0.7500  4 Cr 2.61, 4 Br 2.61
Cr1 0.5000 0.5000 0.5000  4 Ru 2.61
Br1 0.0000 0.0000 0.0000  4 Ru 2.61

---

# 5
Compound: CaIr2Ru
Source: the Alexandria database
Functional: PBE
Structure: optimized geometry

Summary:
* E_form: 0.6 eV/f.u.
* final energy: -7.10 eV per atom
* relative energy among the computed polymorphs: 135.5 meV per atom
* total moment: 0.00 μB/f.u.
* space-group type: Imm2

abc: 5.8034 5.8034 5.8034
angles: 151.85 132.47 56.16
Closest atoms and distances in Å follow each position.
Positions (direct):
Ru1 0.5322 0.5322 0.0000  6 Ir 2.63-2.80, 2 Ru 2.82
Ir1 0.7487 0.2487 0.5000  2 Ru 2.63, 4 Ir 2.68-2.82, 4 Ca 2.73
Ir2 0.9711 0.9711 0.0000  4 Ir 2.68-2.82, 4 Ru 2.80
Ca1 0.2480 0.7480 0.5000  4 Ir 2.73, 2 Ca 2.82

---

# 6
Compound: CuMoAu2
Source: the Alexandria database
Functional: PBE
Structure: optimized geometry

Summary:
* E_form: 1.3 eV/f.u.
* final energy: -5.06 eV per atom
* relative energy among the computed polymorphs: 186.1 meV per atom
* total moment: 0.00 μB/f.u.
* space-group type: C2/m

abc: 4.8391 4.8391 5.1187
angles: 82.17 82.17 32.99
Closest atoms and distances in Å follow each position.
Positions (direct):
Au1 0.0003 0.0003 0.9979  6 Au 2.75-2.92, 3 Cu 2.80-2.83, 3 Mo 2.81-2.85
Au2 0.4997 0.4997 0.5021  6 Au 2.75-2.92, 3 Cu 2.80-2.83, 3 Mo 2.81-2.85
Mo1 0.2500 0.2500 0.2500  2 Mo 2.75, 6 Au 2.81-2.85, 4 Cu 2.90
Cu1 0.7500 0.7500 0.7500  2 Cu 2.75, 6 Au 2.80-2.83, 4 Mo 2.90

---

# 7
Compound: ScAl2Os
Source: the Alexandria database
Functional: PBE
Structure: optimized geometry

Summary:
* E_form: -2.0 eV/f.u.
* final energy: -6.76 eV per atom
* total moment: 0.00 μB/f.u.
* space-group type: Fm-3m

abc: 4.4455 4.4455 4.4455
angles: 60.00 60.00 60.00
Closest atoms and distances in Å follow each position.
Positions (direct):
Sc1 0.0000 0.0000 0.0000  8 Al 2.72
Os1 0.5000 0.5000 0.5000  8 Al 2.72
Al1 0.2500 0.2500 0.2500  4 Os 2.72, 4 Sc 2.72
Al2 0.7500 0.7500 0.7500  4 Os 2.72, 4 Sc 2.72

---

# 8
Compound: Ca2FeIr
Source: the Alexandria database
Functional: PBE
Structure: optimized geometry

Summary:
* E_form: 0.3 eV/f.u.
* final energy: -5.27 eV per atom
* relative energy among the computed polymorphs: 93.7 meV per atom
* total moment: 2.92 μB/f.u.
* space-group type: P4mm

abc: 3.3748 3.3787 8.3709
angles: 90.00 90.00 90.00
Closest atoms and distances in Å follow each position.
Positions (direct):
Fe1 0.0000 0.0000 0.5793  4 Ir 2.52
Ir1 0.5000 0.5000 0.6746  4 Fe 2.52
Ca1 0.5000 0.5000 0.3230  1 Ir 2.94, 4 Fe 3.21
Ca2 0.0000 0.0000 0.9231  1 Fe 2.88, 4 Ir 3.17

---

Computed ρ (Mg/m³) in order:
4.215 8.677 4.294 7.054 12.910 14.224 7.729 5.710